(1)
Entry from Alexandria via LeMat-Bulk: a geometry-optimized NiRh2S4 structure (PBE).

a b c (Å): 6.8852 6.8852 6.8852
angles (deg): 60.00 60.00 60.00
Fractional positions:
Rh 0.6250 0.6250 0.6250
S 0.3801 0.3801 0.8597
S 0.8699 0.8699 0.8699
S 0.8699 0.8699 0.3903
S 0.3801 0.8597 0.3801
S 0.3903 0.8699 0.8699
Rh 0.1250 0.6250 0.6250
Ni 0.0000 0.0000 0.0000
Rh 0.6250 0.6250 0.1250
S 0.8597 0.3801 0.3801
S 0.8699 0.3903 0.8699
Rh 0.6250 0.1250 0.6250
S 0.3801 0.3801 0.3801
Ni 0.2500 0.2500 0.2500

Computed properties:
For the raw formation energy, the calculation gives -458 meV per atom. The total energy comes out at -0.422 Ry per atom. As for the magnetic moment: 0.00 μB per atom.

=====

(2)
Entry from Alexandria via LeMat-Bulk: a geometry-optimized Ni2RhS structure (PBE).

a b c (Å): 3.7344 3.7344 4.7459
angles (deg): 66.83 66.83 60.00
Fractional positions:
Rh 0.0000 0.0000 0.0000
Ni 0.2183 0.2183 0.3452
S 0.5000 0.5000 0.5000
Ni 0.7817 0.7817 0.6548

Computed properties:
For the raw formation energy, the calculation gives 166 meV per atom. The total energy comes out at -0.411 Ry per atom. As for the magnetic moment: 0.00 μB per atom.

=====

(3)
Entry from Alexandria via LeMat-Bulk: a geometry-optimized Ni3RhS structure (PBE).

a b c (Å): 4.5252 4.5252 4.5252
angles (deg): 90.00 90.00 90.00
Fractional positions:
Rh 0.0000 0.0000 0.0000
Ni 0.0000 0.0000 0.5000
S 0.5000 0.5000 0.5000
Ni 0.0000 0.5000 0.0000
Ni 0.5000 0.0000 0.0000

Computed properties:
For the offset from the most stable computed form, the calculation gives 1096.5 meV/atom. For the raw formation energy, the calculation gives 1352 meV per atom. The total energy comes out at -0.324 Ry per atom. As for the magnetic moment: 0.91 μB per atom.

=====

raw formation energy of number 2 (Ni2RhS)? 166 meV per atom

=====

raw formation energy of number 1 (NiRh2S4)? -458 meV per atom

=====

magnetic moment of number 3 (Ni3RhS)? 0.91 μB per atom